The following is a DFT calculation (GGA-PBE) of crystalline TaNb6Os5 at its relaxed geometry.

Unit cell a=4.544 b=6.384 c=7.188 alpha=90.00 beta=108.29 gamma=90.00
Fractional positions:
Ta (0.000, 0.000, 0.000)
Nb (0.165, 0.249, 0.331)
Nb (0.165, 0.751, 0.331)
Nb (0.500, 0.251, 0.000)
Nb (0.500, 0.749, 0.000)
Nb (0.835, 0.249, 0.669)
Nb (0.835, 0.751, 0.669)
Os (0.000, 0.500, 0.000)
Os (0.332, 0.000, 0.663)
Os (0.332, 0.500, 0.663)
Os (0.668, 0.000, 0.337)
Os (0.668, 0.500, 0.337)

DFT total energy: -130.4 eV/cell
Density: 14169 kg/m3
Symmetry: No. 10
Formation energy from the elements: -3.8 kcal/mol of atoms
Total moment: 0.0 μB/f.u.